[1]
{
  "formula": "TlRe2Os",
  "functional": "PBE-GGA",
  "state": "optimized geometry",
  "lattice": [[6.262, 0.455, -0.048], [3.708, 5.066, 0.048], [-4.396, -3.824, 2.339]],
  "species": ["Os", "Re", "Re", "Tl"],
  "fractional_positions": [[0.219, 0.719, 0.500], [0.033, 0.033, 0.000], [0.793, 0.293, 0.500], [0.455, 0.455, 0.000]],
  "space_group": "Imm2",
  "magmom_total_mub_per_fu": 0.0,
  "dos_at_fermi_per_ev_cell": 2.83,
  "delta_e_f_ev_per_atom": 0.90
}

---

[2]
{
  "formula": "Cr2WSeS",
  "functional": "PBE-GGA",
  "state": "optimized geometry",
  "lattice": [[-3.006, 3.428, -0.743], [-3.504, -2.660, 1.901], [0.947, 1.736, 4.174]],
  "species": ["Cr", "Cr", "S", "Se", "W"],
  "fractional_positions": [[0.000, 0.000, 0.500], [0.500, 0.000, 0.000], [0.000, 0.500, 0.000], [0.000, 0.000, 0.000], [0.500, 0.500, 0.500]],
  "space_group": "P4/mmm",
  "e_form_raw_ev_per_fu": 7.46,
  "magmom_total_mub_per_fu": 3.9,
  "dos_at_fermi_per_ev_cell": 3.58
}

---

[3]
{
  "formula": "Hg2MoPb",
  "functional": "PBE-GGA",
  "state": "optimized geometry",
  "lattice": [[-3.971, -1.704, -2.790], [-1.624, -0.504, 2.619], [-2.891, 4.918, 1.111]],
  "species": ["Hg", "Hg", "Mo", "Pb"],
  "fractional_positions": [[0.000, 0.100, 0.023], [0.000, 0.400, 0.477], [0.500, 0.250, 0.250], [0.500, 0.750, 0.750]],
  "space_group": "P2/m",
  "magmom_total_mub_per_fu": 0.0,
  "dos_at_fermi_per_ev_cell": 3.20,
  "delta_e_f_ev_per_atom": 0.64
}